Record 1
NdDyPbAu GGA-PBE optimized geometry; magnetic moment = 0.84 μB/cell; space group = F-43m (216); energy relative to the elements = -0.6042 eV/atom; Fermi-level density of states = 3.1 states/eV/f.u.
1.0
5.345 0.000 0.000
2.673 4.629 0.000
2.673 1.543 4.364
Au Dy Pb Nd
1 1 1 1
Direct
0.000 0.000 0.000
0.250 0.250 0.250
0.500 0.500 0.500
0.750 0.750 0.750

---

Record 2
NdDySiAu GGA-PBE optimized geometry; raw formation energy = -628 meV/atom; magnetic moment = 0.58 μB/cell; space group = F-43m (216); Fermi-level density of states = 3.7 states/eV/f.u.
1.0
-4.748 0.303 1.933
-2.494 -4.276 1.367
-0.820 -1.017 4.966
Dy Si Nd Au
1 1 1 1
Direct
0.000 0.000 0.000
0.750 0.750 0.750
0.500 0.500 0.500
0.250 0.250 0.250

---

Record 3
Nd2DyTe5Au GGA-PBE optimized geometry; raw formation energy = -1192 meV/atom; magnetic moment = 0.00 μB/cell; space group = Cmc2_1 (36); Fermi-level density of states = 0.2 states/eV/f.u.
1.0
4.357 0.000 0.000
-2.178 9.542 0.000
0.000 0.000 13.250
Te Nd Dy Au
10 4 2 2
Direct
0.039 0.079 0.076
0.501 0.001 0.280
0.961 0.921 0.576
0.694 0.388 0.838
0.499 0.999 0.780
0.306 0.612 0.338
0.647 0.293 0.499
0.288 0.576 0.670
0.353 0.707 0.999
0.712 0.424 0.170
0.113 0.227 0.687
0.125 0.249 0.306
0.887 0.773 0.187
0.875 0.751 0.806
0.189 0.377 0.008
0.811 0.623 0.508
0.573 0.146 0.960
0.427 0.854 0.460

---

Record 4
NdDy2TmAu4 GGA-PBE optimized geometry; magnetic moment = 0.00 μB/cell; space group = R-3m (166); energy relative to the elements = -0.8398 eV/atom; Fermi-level density of states = 4.1 states/eV/f.u.
1.0
-1.931 1.622 4.425
-3.323 -2.902 2.545
4.641 -4.115 6.464
Dy Au Tm Nd
2 4 1 1
Direct
0.751 0.751 0.746
0.249 0.249 0.254
0.619 0.619 0.144
0.872 0.872 0.385
0.381 0.381 0.856
0.128 0.128 0.615
0.500 0.500 0.500
0.000 0.000 0.000

---

Record 5
NdDyTm2Au4 GGA-PBE optimized geometry; magnetic moment = 0.00 μB/cell; space group = R-3m (166); energy relative to the elements = -0.8427 eV/atom; Fermi-level density of states = 4.1 states/eV/f.u.
1.0
5.079 0.000 0.000
2.540 4.399 0.000
2.540 1.466 8.427
Au Tm Dy Nd
4 2 1 1
Direct
0.620 0.620 0.141
0.128 0.128 0.617
0.872 0.872 0.383
0.380 0.380 0.859
0.751 0.751 0.747
0.249 0.249 0.253
0.500 0.500 0.500
0.000 0.000 0.000

---

Record 6
NdDyZnAu GGA-PBE optimized geometry; magnetic moment = 0.00 μB/cell; space group = F-43m (216); energy relative to the elements = -0.5509 eV/atom; Fermi-level density of states = 2.1 states/eV/f.u.
1.0
5.161 0.000 0.000
2.581 4.470 0.000
2.581 1.490 4.214
Zn Nd Au Dy
1 1 1 1
Direct
0.000 0.000 0.000
0.250 0.250 0.250
0.500 0.500 0.500
0.750 0.750 0.750